[1]
## Al3RhAu (PBE)

Data for crystalline Al3RhAu at its relaxed geometry. Values from VASP.

Summary:
- Formation energy: -176 meV per atom
- Electronic total energy: -4.55 eV per atom
- Spin magnetization: 0.000 μB per formula unit
- Space-group type: No. 221

Cell and atoms, written as Quantum ESPRESSO input:
```
&SYSTEM
  ibrav = 0, nat = 5, ntyp = 3
/
ATOMIC_SPECIES
Al 26.98 Al.upf
Rh 102.91 Rh.upf
Au 196.97 Au.upf
CELL_PARAMETERS angstrom
4.670 0.000 0.000
0.000 4.670 0.000
0.000 0.000 4.670
ATOMIC_POSITIONS crystal
Al 0.000 0.000 0.500
Al 0.000 0.500 0.000
Al 0.500 0.000 0.000
Rh 0.000 0.000 0.000
Au 0.500 0.500 0.500
```

=====

[2]
## K3BeS3 (PBE)

Data for crystalline K3BeS3 at its relaxed geometry. Values from VASP.

Summary:
- Electronic total energy: -3.74 eV per atom
- Spin magnetization: 1.021 μB per formula unit
- Space-group type: No. 14

Cell and atoms, written as Quantum ESPRESSO input:
```
&SYSTEM
  ibrav = 0, nat = 28, ntyp = 3
/
ATOMIC_SPECIES
K 39.10 K.upf
Be 9.01 Be.upf
S 32.06 S.upf
CELL_PARAMETERS angstrom
7.330 0.000 0.000
0.000 12.284 0.000
-6.321 0.000 8.465
ATOMIC_POSITIONS crystal
K 0.137 0.129 0.468
K 0.137 0.371 0.968
K 0.148 0.055 0.888
K 0.148 0.445 0.388
K 0.356 0.708 0.618
K 0.356 0.792 0.118
K 0.644 0.208 0.882
K 0.644 0.292 0.382
K 0.852 0.555 0.612
K 0.852 0.945 0.112
K 0.863 0.629 0.032
K 0.863 0.871 0.532
Be 0.448 0.043 0.365
Be 0.448 0.457 0.865
Be 0.552 0.543 0.135
Be 0.552 0.957 0.635
S 0.190 0.153 0.183
S 0.190 0.347 0.683
S 0.341 0.605 0.901
S 0.341 0.895 0.401
S 0.408 0.544 0.259
S 0.408 0.956 0.759
S 0.592 0.044 0.241
S 0.592 0.456 0.741
S 0.659 0.105 0.599
S 0.659 0.395 0.099
S 0.810 0.653 0.317
S 0.810 0.847 0.817
```

=====

[3]
## LiDyZr (PBE)

Data for crystalline LiDyZr at its relaxed geometry. Values from VASP.

Summary:
- Formation energy: 143 meV per atom
- Electronic total energy: -4.88 eV per atom
- Spin magnetization: 0.000 μB per formula unit
- Space-group type: No. 107

Cell and atoms, written as Quantum ESPRESSO input:
```
&SYSTEM
  ibrav = 0, nat = 3, ntyp = 3
/
ATOMIC_SPECIES
Li 6.94 Li.upf
Dy 162.50 Dy.upf
Zr 91.22 Zr.upf
CELL_PARAMETERS angstrom
-1.668 1.668 6.595
1.668 -1.668 6.595
1.668 1.668 -6.595
ATOMIC_POSITIONS crystal
Li 0.000 0.000 0.000
Dy 0.678 0.678 0.000
Zr 0.344 0.344 0.000
```

=====

[4]
## LiTa2Pt (PBE)

Data for crystalline LiTa2Pt at its relaxed geometry. Values from VASP.

Summary:
- Formation energy: -105 meV per atom
- Electronic total energy: -8.02 eV per atom
- Spin magnetization: 0.000 μB per formula unit
- Space-group type: No. 47

Cell and atoms, written as Quantum ESPRESSO input:
```
&SYSTEM
  ibrav = 0, nat = 4, ntyp = 3
/
ATOMIC_SPECIES
Li 6.94 Li.upf
Ta 180.95 Ta.upf
Pt 195.08 Pt.upf
CELL_PARAMETERS angstrom
2.800 0.000 0.000
0.000 4.163 0.000
0.000 0.000 5.538
ATOMIC_POSITIONS crystal
Li 0.000 0.000 0.000
Ta 0.500 0.500 0.250
Ta 0.500 0.500 0.750
Pt 0.000 0.000 0.500
```